MgFeNO2 GGA+U relaxed; final energy = -5.553 eV/atom; theoretical density = 3.862 g/cm3; DOS(E_F) = 2.1 states/eV/cell; crystal system = tetragonal
1.0
3.789 0.000 0.000
0.000 3.789 0.000
0.000 0.000 3.778
Mg Fe N O
1 1 1 2
Direct
0.000 0.000 0.000
0.500 0.500 0.500
0.500 0.500 0.000
0.000 0.500 0.500
0.500 0.000 0.500